Compound: TbHoSb2
Source: the Open Quantum Materials Database
Functional: PBE-GGA
Structure: relaxed

Values from the calculation:
- raw total energy (eV/atom) = -5.49
- total magnetization (Bohr magnetons per cell) = 0.0
- crystal system = tetragonal

Lattice parameters (Å, degrees): 4.380 4.380 6.194 90.00 90.00 90.00
Space group P4/mmm (No. 123)
One atom of each set of equivalent atoms:
Tb 0.000 0.000 0.000 (multiplicity 1)
Ho 0.500 0.500 0.500 (multiplicity 1)
Sb 0.000 0.000 0.500 (multiplicity 1)
Sb 0.500 0.500 0.000 (multiplicity 1)


Compound: ZnGeAsN
Source: the Open Quantum Materials Database
Functional: PBE-GGA
Structure: relaxed

Values from the calculation:
- energy relative to the lowest polymorph listed for this composition (meV/atom) = 0
- crystal system = monoclinic

Lattice parameters (Å, degrees): 7.315 7.350 6.029 90.00 125.22 90.00
Space group Cc (No. 9)
One atom of each set of equivalent atoms:
Zn 0.000 0.166 0.000 (multiplicity 4)
Ge 0.427 0.095 0.998 (multiplicity 4)
As 0.331 0.377 0.748 (multiplicity 4)
N 0.342 0.108 0.249 (multiplicity 4)


Compound: HoNiSb
Source: the Open Quantum Materials Database
Functional: PBE-GGA
Structure: relaxed

Values from the calculation:
- raw total energy (eV/atom) = -5.50
- total magnetization (Bohr magnetons per cell) = 0.0
- crystal system = hexagonal

Lattice parameters (Å, degrees): 7.1572 7.1572 4.0979 90.00 90.00 120.00
Space group P-62m (No. 189)
One atom of each set of equivalent atoms:
Ho 0.0000 0.6100 0.0000 (multiplicity 3)
Ni 0.0000 0.0000 0.0000 (multiplicity 1)
Ni 0.3333 0.6667 0.5000 (multiplicity 2)
Sb 0.0000 0.2763 0.5000 (multiplicity 3)


Compound: HfTh
Source: the Open Quantum Materials Database
Functional: PBE-GGA
Structure: relaxed

Values from the calculation:
- energy relative to the lowest polymorph listed for this composition (meV/atom) = 2017
- formation energy from the elements (kcal/mol of atoms) = 50.4
- total magnetization (Bohr magnetons per cell) = 0.1
- crystal system = cubic

Lattice parameters (Å, degrees): 6.653 6.653 6.653 90.00 90.00 90.00
Space group F-43m (No. 216)
One atom of each set of equivalent atoms:
Hf 0.000 0.000 0.000 (multiplicity 4)
Th 0.250 0.250 0.750 (multiplicity 4)


Compound: MgZr2Zn
Source: the Open Quantum Materials Database
Functional: PBE-GGA
Structure: relaxed

Values from the calculation:
- energy relative to the lowest polymorph listed for this composition (meV/atom) = 0
- total magnetization (Bohr magnetons per cell) = 0.0
- crystal system = tetragonal

Lattice parameters (Å, degrees): 3.123 3.123 8.442 90.00 90.00 90.00
Space group P4mm (No. 99)
One atom of each set of equivalent atoms:
Mg 0.000 0.000 0.000 (multiplicity 1)
Zr 0.000 0.000 0.555 (multiplicity 1)
Zr 0.500 0.500 0.283 (multiplicity 1)
Zn 0.500 0.500 0.788 (multiplicity 1)


Compound: Hf4SnGeC2
Source: the Open Quantum Materials Database
Functional: PBE-GGA
Structure: relaxed

Values from the calculation:
- raw total energy (eV/atom) = -9.16
- total magnetization (Bohr magnetons per cell) = 0.0
- crystal system = hexagonal

Lattice parameters (Å, degrees): 3.3154 3.3154 14.0492 90.00 90.00 120.00
Space group P-6m2 (No. 187)
One atom of each set of equivalent atoms:
Hf 0.0000 0.0000 0.1520 (multiplicity 2)
Hf 0.6667 0.3333 0.3288 (multiplicity 2)
Sn 0.0000 0.0000 0.5000 (multiplicity 1)
Ge 0.6667 0.3333 0.0000 (multiplicity 1)
C 0.3333 0.6667 0.2408 (multiplicity 2)


Please write out number 4 again, unchanged.
Compound: HfTh
Source: the Open Quantum Materials Database
Functional: PBE-GGA
Structure: relaxed

Values from the calculation:
- energy relative to the lowest polymorph listed for this composition (meV/atom) = 2017
- formation energy from the elements (kcal/mol of atoms) = 50.4
- total magnetization (Bohr magnetons per cell) = 0.1
- crystal system = cubic

Lattice parameters (Å, degrees): 6.653 6.653 6.653 90.00 90.00 90.00
Space group F-43m (No. 216)
One atom of each set of equivalent atoms:
Hf 0.000 0.000 0.000 (multiplicity 4)
Th 0.250 0.250 0.750 (multiplicity 4)


What did the sixth record say?
Compound: Hf4SnGeC2
Source: the Open Quantum Materials Database
Functional: PBE-GGA
Structure: relaxed

Values from the calculation:
- raw total energy (eV/atom) = -9.16
- total magnetization (Bohr magnetons per cell) = 0.0
- crystal system = hexagonal

Lattice parameters (Å, degrees): 3.3154 3.3154 14.0492 90.00 90.00 120.00
Space group P-6m2 (No. 187)
One atom of each set of equivalent atoms:
Hf 0.0000 0.0000 0.1520 (multiplicity 2)
Hf 0.6667 0.3333 0.3288 (multiplicity 2)
Sn 0.0000 0.0000 0.5000 (multiplicity 1)
Ge 0.6667 0.3333 0.0000 (multiplicity 1)
C 0.3333 0.6667 0.2408 (multiplicity 2)